Crystalline Cs2SrCeO4 at its relaxed geometry, computed with PBE.

Cell: 6.4400 3.7355 7.2317 Å, 90.00 107.62 90.00°
Positions (direct):
Cs  0.0000  0.0000  0.0000
Cs  0.5000  0.5000  0.0000
Sr  0.0000  0.5000  0.5000
Ce  0.5000  0.0000  0.5000
O  0.2627  0.0000  0.6660
O  0.2984  0.5000  0.3284
O  0.7016  0.5000  0.6716
O  0.7373  0.0000  0.3340

total magnetic moment: 0.0 μB/f.u.
DOS(E_F): 0.0 states/eV/cell
symmetry: P2/m, No. 10
formation energy from raw total energies: -2422.5 meV/atom